Arrangement A

A plane-wave DFT calculation with PBE was carried out for a relaxed structure of Co2CuRe.

Results
- Size of the total moment: 0.2 μB per formula unit
- Crystal system: tetragonal

```
Co2CuRe
1.0
-0.981 -5.988 2.196
3.877 1.204 5.015
-0.550 -1.570 4.953
Re Cu Co
2 2 4
direct
0.750 0.250 0.500 Re
0.000 0.000 0.000 Re
0.500 0.500 0.000 Cu
0.250 0.750 0.500 Cu
0.375 0.360 0.750 Co
0.640 0.125 0.250 Co
0.875 0.890 0.750 Co
0.110 0.625 0.250 Co
```

Arrangement B

A plane-wave DFT calculation with PBE was carried out for a relaxed structure of Co2CuRe.

Results
- Size of the total moment: 0.0 μB per formula unit
- Crystal system: orthorhombic

```
Co2CuRe
1.0
-3.775 -1.580 -1.598
1.917 -3.287 2.195
-1.226 0.735 2.171
Co Cu Re
2 1 1
direct
0.500 0.500 0.000 Co
0.000 0.000 0.000 Co
0.500 0.000 0.500 Cu
0.000 0.500 0.500 Re
```

Arrangement C

A plane-wave DFT calculation with PBE was carried out for a relaxed structure of Co2CuRe.

Results
- Size of the total moment: 2.9 μB per formula unit
- Crystal system: tetragonal

```
Co2CuRe
1.0
-1.677 -1.981 -0.018
0.174 -0.170 2.584
-5.532 4.678 0.681
Re Cu Co
1 1 2
direct
0.500 0.500 0.759 Re
0.000 0.000 0.485 Cu
0.000 0.000 0.017 Co
0.500 0.500 0.239 Co
```

Arrangement D

A plane-wave DFT calculation with PBE was carried out for a relaxed structure of Co2CuRe.

Results
- Size of the total moment: 2.2 μB per formula unit
- Crystal system: trigonal

```
Co2CuRe
1.0
-6.913 2.120 -4.271
-8.051 1.160 -2.091
-7.238 3.671 -2.160
Cu Co Re
1 2 1
direct
0.250 0.250 0.250 Cu
0.000 0.000 0.000 Co
0.500 0.500 0.500 Co
0.750 0.750 0.750 Re
```

arrangement C (25 meV/atom below the next structure)

Arrangement A

A plane-wave DFT calculation with PBE was carried out for a relaxed structure of Co2CuRe.

Results
- Size of the total moment: 0.0 μB per formula unit
- Crystal system: tetragonal

```
Co2CuRe
1.0
-3.914 -1.896 0.185
0.695 -4.244 0.674
1.536 3.468 2.137
Co Cu Re
2 1 1
direct
0.500 0.500 0.000 Co
0.000 0.000 0.000 Co
0.750 0.250 0.500 Cu
0.250 0.750 0.500 Re
```

Arrangement B

A plane-wave DFT calculation with PBE was carried out for a relaxed structure of Co2CuRe.

Results
- Size of the total moment: 0.0 μB per formula unit
- Crystal system: orthorhombic

```
Co2CuRe
1.0
2.614 0.000 0.000
0.000 3.535 0.000
0.000 0.000 5.173
Re Co Cu
1 2 1
direct
0.500 0.500 0.750 Re
0.000 0.000 0.000 Co
0.000 0.000 0.500 Co
0.500 0.500 0.250 Cu
```

Arrangement C

A plane-wave DFT calculation with PBE was carried out for a relaxed structure of Co2CuRe.

Results
- Size of the total moment: 2.7 μB per formula unit
- Crystal system: trigonal

```
Co2CuRe
1.0
-1.735 4.963 -6.642
-3.801 5.573 -5.124
-1.505 6.823 -4.789
Co Re Cu
2 1 1
direct
0.997 0.997 0.997 Co
0.253 0.253 0.253 Co
0.747 0.747 0.747 Re
0.504 0.504 0.504 Cu
```

arrangement B (8 meV/atom below the next structure)